1.
VASP calculation (PBEsol) on La4Ga2O9 after structural relaxation.

Lattice parameters (Å, degrees): 7.924 11.136 11.542 90.00 109.40 90.00
Space group P2_1/c (No. 14)
Symmetry-distinct sites (fractional):
1 La 0.021 0.099 0.285 [4 per cell]
2 La 0.168 0.623 0.575 [4 per cell]
3 La 0.336 0.124 0.914 [4 per cell]
4 La 0.475 0.585 0.192 [4 per cell]
5 Ga 0.154 0.189 0.618 [4 per cell]
6 Ga 0.280 0.692 0.871 [4 per cell]
7 O 0.067 0.749 0.385 [4 per cell]
8 O 0.072 0.010 0.900 [4 per cell]
9 O 0.137 0.227 0.460 [4 per cell]
10 O 0.205 0.036 0.680 [4 per cell]
11 O 0.267 0.718 0.232 [4 per cell]
12 O 0.275 0.536 0.820 [4 per cell]
13 O 0.285 0.218 0.249 [4 per cell]
14 O 0.425 0.002 0.104 [4 per cell]
15 O 0.426 0.732 0.024 [4 per cell]

Summary:
Total magnetization ... 0.00 μB/f.u.
VASP energy ... -8.0162 eV per atom

2.
VASP calculation (PBEsol) on Mg2TlIn after structural relaxation.

Lattice parameters (Å, degrees): 3.3959 3.3959 28.2186 90.00 90.00 120.00
Space group R-3m (No. 166, hexagonal axes)
Symmetry-distinct sites (fractional):
1 Mg 0.0000 0.0000 0.2499 [6 per cell]
2 Tl 0.0000 0.0000 0.0000 [3 per cell]
3 In 0.0000 0.0000 0.5000 [3 per cell]

Summary:
Total magnetization ... 0.00 μB/f.u.
Calculated formation energy ... -0.083 eV/atom

3.
VASP calculation (PBEsol) on NaCa2SnMo after structural relaxation.

Lattice parameters (Å, degrees): 5.443 5.443 5.103 90.00 90.00 90.00
Space group P4/mmm (No. 123)
Symmetry-distinct sites (fractional):
1 Na 0.000 0.000 0.000 [1 per cell]
2 Ca 0.000 0.500 0.000 [2 per cell]
3 Sn 0.000 0.000 0.500 [1 per cell]
4 Mo 0.500 0.500 0.500 [1 per cell]

Summary:
Total magnetization ... 4.36 μB/f.u.
Calculated formation energy ... 1.180 eV/atom

4.
VASP calculation (PBEsol) on Sb3RhAu after structural relaxation.

Lattice parameters (Å, degrees): 5.193 5.193 5.193 90.00 90.00 90.00
Space group Pm-3m (No. 221)
Symmetry-distinct sites (fractional):
1 Sb 0.000 0.000 0.500 [3 per cell]
2 Rh 0.500 0.500 0.500 [1 per cell]
3 Au 0.000 0.000 0.000 [1 per cell]

Summary:
Total magnetization ... 0.00 μB/f.u.
VASP energy ... -4.0329 eV per atom

5.
VASP calculation (PBEsol) on CdSi2Rh after structural relaxation.

Lattice parameters (Å, degrees): 4.001 4.001 3.776 90.00 90.00 90.00
Space group P4/mmm (No. 123)
Symmetry-distinct sites (fractional):
1 Cd 0.000 0.000 0.000 [1 per cell]
2 Si 0.000 0.500 0.500 [2 per cell]
3 Rh 0.500 0.500 0.000 [1 per cell]

Summary:
Total magnetization ... 0.00 μB/f.u.
VASP energy ... -5.0607 eV per atom

6.
VASP calculation (PBEsol) on KScSeBr2 after structural relaxation.

Lattice parameters (Å, degrees): 5.468 5.468 5.624 90.00 90.00 90.00
Space group P4/mmm (No. 123)
Symmetry-distinct sites (fractional):
1 K 0.000 0.000 0.000 [1 per cell]
2 Sc 0.500 0.500 0.500 [1 per cell]
3 Se 0.000 0.000 0.500 [1 per cell]
4 Br 0.000 0.500 0.000 [2 per cell]

Summary:
Energy above the most stable polymorph in this dataset ... 1516.1 meV/atom
Total magnetization ... 0.02 μB/f.u.

7.
VASP calculation (PBEsol) on Na2NbAg after structural relaxation.

Lattice parameters (Å, degrees): 7.077 7.077 7.077 90.00 90.00 90.00
Space group Fm-3m (No. 225)
Symmetry-distinct sites (fractional):
1 Na 0.250 0.250 0.250 [8 per cell]
2 Nb 0.000 0.000 0.000 [4 per cell]
3 Ag 0.000 0.000 0.500 [4 per cell]

Summary:
Energy above the most stable polymorph in this dataset ... 0.0 meV/atom
Total magnetization ... 3.94 μB/f.u.
Calculated formation energy ... 1.111 eV/atom

8.
VASP calculation (PBEsol) on Mn2OsPt after structural relaxation.

Lattice parameters (Å, degrees): 2.910 4.452 8.461 90.00 90.00 90.00
Space group Cmmm (No. 65)
Symmetry-distinct sites (fractional):
1 Mn 0.000 0.000 0.245 [4 per cell]
2 Os 0.000 0.500 0.000 [2 per cell]
3 Pt 0.000 0.500 0.500 [2 per cell]

Summary:
Total magnetization ... 6.47 μB/f.u.
Calculated formation energy ... 0.219 eV/atom

9.
VASP calculation (PBEsol) on Sr2FeBr after structural relaxation.

Lattice parameters (Å, degrees): 5.153 3.714 11.756 90.00 90.00 90.00
Space group Amm2 (No. 38)
Symmetry-distinct sites (fractional):
1 Sr 0.000 0.000 0.000 [2 per cell]
2 Sr 0.500 0.000 0.266 [2 per cell]
3 Fe 0.000 0.000 0.744 [2 per cell]
4 Br 0.500 0.000 0.534 [2 per cell]

Summary:
Energy above the most stable polymorph in this dataset ... 0.0 meV/atom
Total magnetization ... 1.68 μB/f.u.

10.
VASP calculation (PBEsol) on TiAs3N after structural relaxation.

Lattice parameters (Å, degrees): 4.238 4.238 4.238 90.00 90.00 90.00
Space group Pm-3m (No. 221)
Symmetry-distinct sites (fractional):
1 Ti 0.000 0.000 0.000 [1 per cell]
2 As 0.000 0.500 0.500 [3 per cell]
3 N 0.500 0.500 0.500 [1 per cell]

Summary:
Total magnetization ... 0.00 μB/f.u.
VASP energy ... -6.0929 eV per atom

11.
VASP calculation (PBEsol) on Sb2NO after structural relaxation.

Lattice parameters (Å, degrees): 5.511 5.511 9.915 90.00 90.00 90.00
Space group I-42d (No. 122)
Symmetry-distinct sites (fractional):
1 Sb 0.239 0.250 0.125 [8 per cell]
2 N 0.000 0.000 0.000 [4 per cell]
3 O 0.000 0.000 0.500 [4 per cell]

Summary:
Total magnetization ... 0.00 μB/f.u.
VASP energy ... -5.5651 eV per atom

12.
VASP calculation (PBEsol) on BaSrFe2O6 after structural relaxation.

Lattice parameters (Å, degrees): 3.848 3.848 7.702 90.00 90.00 90.00
Space group P4/mmm (No. 123)
Symmetry-distinct sites (fractional):
1 Ba 0.000 0.000 0.000 [1 per cell]
2 Sr 0.000 0.000 0.500 [1 per cell]
3 Fe 0.500 0.500 0.255 [2 per cell]
4 O 0.000 0.500 0.260 [4 per cell]
5 O 0.500 0.500 0.000 [1 per cell]
6 O 0.500 0.500 0.500 [1 per cell]

Summary:
Total magnetization ... 6.82 μB/f.u.
VASP energy ... -7.3337 eV per atom